Record 1
Density functional theory data (meta-GGA SCAN) for a crystal of BaCa2Pb2 relaxed with PBEsol.

Computed properties:
Excess energy over the best structure of this formula in the dataset = 0.000 eV per atom
ΔE_f = -0.711 eV/atom

Cell lengths 3.5440, 9.4949, 9.4949 Å; angles 90.00, 90.00, 90.00 degrees
Positions (direct):
Pb 0.5000 0.1737 0.6737
Pb 0.5000 0.6737 0.8263
Pb 0.5000 0.8263 0.3263
Pb 0.5000 0.3263 0.1737
Ca 0.0000 0.3762 0.8762
Ca 0.0000 0.8762 0.6238
Ca 0.0000 0.6238 0.1238
Ca 0.0000 0.1238 0.3762
Ba 0.0000 0.0000 0.0000
Ba 0.0000 0.5000 0.5000

=====

Record 2
Density functional theory data (meta-GGA SCAN) for a crystal of Ba2CaPd2 relaxed with PBEsol.

Computed properties:
ΔE_f = -0.487 eV/atom

Cell lengths 4.5806, 8.1013, 8.1013 Å; angles 90.00, 90.00, 90.00 degrees
Positions (direct):
Ca 0.0000 0.0000 0.0000
Ca 0.0000 0.5000 0.5000
Ba 0.5000 0.1652 0.6652
Ba 0.5000 0.6652 0.8348
Ba 0.5000 0.8348 0.3348
Ba 0.5000 0.3348 0.1652
Pd 0.0000 0.3737 0.8737
Pd 0.0000 0.8737 0.6263
Pd 0.0000 0.6263 0.1263
Pd 0.0000 0.1263 0.3737

=====

Record 3
Density functional theory data (meta-GGA SCAN) for a crystal of BaCaPdW2 relaxed with PBEsol.

Computed properties:
ΔE_f = 2.773 eV/atom

Cell lengths 4.7287, 4.7287, 5.5621 Å; angles 90.00, 90.00, 90.00 degrees
Site moments in Bohr magnetons follow the coordinates.
Positions (direct):
Ca 0.0000 0.0000 0.0000  0.01
Pd 0.5000 0.5000 0.5000  0.09
Ba 0.0000 0.0000 0.5000  0.04
W 0.0000 0.5000 0.0000  0.71
W 0.5000 0.0000 0.0000  0.71